Co2ReAg: relaxed, GGA-PBEsol.

a = 4.5243 Å, b = 2.5985 Å, c = 4.7797 Å
α = 90.00°, β = 113.11°, γ = 90.00°
Space group P2/m (No. 10)
One atom of each set of equivalent atoms:
Co  0.0000  0.0000  0.0000
Co  0.0000  0.5000  0.5000
Re  0.5000  0.0000  0.5000
Ag  0.5000  0.5000  0.0000

Calculated values
Formation energy from the elements, kJ per mole of atoms: 50.6
DOS at the Fermi energy, states/eV/f.u.: 5.54

CoReAg2: relaxed, GGA-PBEsol.

a = 9.4226 Å, b = 2.6476 Å, c = 4.6705 Å
α = 90.00°, β = 99.46°, γ = 90.00°
Space group C2/m (No. 12)
One atom of each set of equivalent atoms:
Co  0.0000  0.0000  0.0000
Re  0.0000  0.5000  0.5000
Ag  0.2467  0.5000  0.2470

Calculated values
Formation energy from the elements, kJ per mole of atoms: 57.1
DOS at the Fermi energy, states/eV/f.u.: 4.83

Co2ReAg: relaxed, GGA-PBEsol.

a = 5.9112 Å, b = 5.9112 Å, c = 5.9112 Å
α = 90.00°, β = 90.00°, γ = 90.00°
Space group F-43m (No. 216)
One atom of each set of equivalent atoms:
Co  0.0000  0.0000  0.0000
Co  0.2500  0.2500  0.2500
Re  0.2500  0.2500  0.7500
Ag  0.0000  0.0000  0.5000

Calculated values
Formation energy from the elements, kJ per mole of atoms: 71.6
DOS at the Fermi energy, states/eV/f.u.: 6.30

CoReAg2: relaxed, GGA-PBEsol.

a = 2.6745 Å, b = 4.5586 Å, c = 4.8035 Å
α = 90.00°, β = 90.00°, γ = 90.00°
Space group Pmmm (No. 47)
One atom of each set of equivalent atoms:
Co  0.0000  0.0000  0.0000
Re  0.5000  0.5000  0.0000
Ag  0.0000  0.5000  0.5000
Ag  0.5000  0.0000  0.5000

Calculated values
Formation energy from the elements, kJ per mole of atoms: 62.8
DOS at the Fermi energy, states/eV/f.u.: 4.53

CoRe2Ag: relaxed, GGA-PBEsol.

a = 3.8620 Å, b = 3.8620 Å, c = 7.3755 Å
α = 90.00°, β = 90.00°, γ = 90.00°
Space group I-4m2 (No. 119)
One atom of each set of equivalent atoms:
Co  0.0000  0.0000  0.0000
Re  0.0000  0.0000  0.5000
Re  0.0000  0.5000  0.7500
Ag  0.0000  0.5000  0.2500

Calculated values
Formation energy from the elements, kJ per mole of atoms: 46.0
DOS at the Fermi energy, states/eV/f.u.: 3.88

CoReAg2: relaxed, GGA-PBEsol.

a = 2.6055 Å, b = 4.6974 Å, c = 4.7571 Å
α = 90.00°, β = 94.24°, γ = 90.00°
Space group P2/m (No. 10)
One atom of each set of equivalent atoms:
Co  0.0000  0.0000  0.0000
Re  0.5000  0.0000  0.5000
Ag  0.2223  0.5000  0.7535

Calculated values
Formation energy from the elements, kJ per mole of atoms: 62.6
DOS at the Fermi energy, states/eV/f.u.: 4.61

CoReTcAg2: relaxed, GGA-PBEsol.

a = 4.8890 Å, b = 4.8890 Å, c = 4.4823 Å
α = 90.00°, β = 90.00°, γ = 90.00°
Space group P4/mmm (No. 123)
One atom of each set of equivalent atoms:
Co  0.0000  0.0000  0.0000
Re  0.5000  0.5000  0.0000
Tc  0.5000  0.5000  0.5000
Ag  0.0000  0.5000  0.5000

Calculated values
Formation energy from the elements, kJ per mole of atoms: 216.6
DOS at the Fermi energy, states/eV/f.u.: 8.60

CoAg2Rh: relaxed, GGA-PBEsol.

a = 2.6699 Å, b = 2.6699 Å, c = 8.0090 Å
α = 90.00°, β = 90.00°, γ = 90.00°
Space group P4/mmm (No. 123)
One atom of each set of equivalent atoms:
Co  0.0000  0.0000  0.0000
Ag  0.5000  0.5000  0.2396
Rh  0.0000  0.0000  0.5000

Calculated values
Formation energy from the elements, kJ per mole of atoms: 39.7
DOS at the Fermi energy, states/eV/f.u.: 4.96